(a)
The following is a DFT calculation (PBE) of Pm3DyMg3 after structural relaxation.

Values from the calculation:
Calculated density = 5.159 g cm⁻³

abc: 7.827 7.827 7.054
angles: 90.02 90.02 92.93
Positions (direct):
Pm1 0.000 0.000 0.246
Pm2 0.000 0.000 0.754
Pm3 0.000 0.500 0.254
Pm4 0.000 0.500 0.746
Pm5 0.500 0.000 0.254
Pm6 0.500 0.000 0.746
Dy1 0.313 0.313 0.000
Dy2 0.687 0.687 0.000
Mg1 0.256 0.744 0.000
Mg2 0.276 0.276 0.500
Mg3 0.326 0.674 0.500
Mg4 0.674 0.326 0.500
Mg5 0.724 0.724 0.500
Mg6 0.744 0.256 0.000

---

(b)
The following is a DFT calculation (PBE) of Pm3DyMg3 after structural relaxation.

Values from the calculation:
Calculated density = 5.241 g cm⁻³

abc: 6.516 6.516 10.748
angles: 90.88 90.88 111.36
Positions (direct):
Pm1 0.175 0.825 0.000
Pm2 0.225 0.775 0.500
Pm3 0.468 0.468 0.171
Pm4 0.532 0.532 0.829
Pm5 0.775 0.225 0.500
Pm6 0.825 0.175 0.000
Dy1 0.286 0.286 0.510
Dy2 0.714 0.714 0.490
Mg1 0.000 0.000 0.259
Mg2 0.000 0.000 0.741
Mg3 0.016 0.500 0.749
Mg4 0.500 0.016 0.749
Mg5 0.500 0.984 0.251
Mg6 0.984 0.500 0.251

---

Order of stability, best first: (a), (b)

---

(a)
The following is a DFT calculation (PBE) of PmDyMg4 after structural relaxation.

Values from the calculation:
Calculated density = 4.239 g cm⁻³

abc: 13.867 3.461 6.815
angles: 90.00 104.21 90.00
Positions (direct):
Pm1 0.000 0.000 0.000
Pm2 0.500 0.500 0.000
Dy1 0.000 0.000 0.500
Dy2 0.500 0.500 0.500
Mg1 0.175 0.500 0.341
Mg2 0.177 0.500 0.835
Mg3 0.323 0.000 0.165
Mg4 0.325 0.000 0.659
Mg5 0.675 0.000 0.341
Mg6 0.677 0.000 0.835
Mg7 0.823 0.500 0.165
Mg8 0.825 0.500 0.659

---

(b)
The following is a DFT calculation (PBE) of PmDyMg4 after structural relaxation.

Values from the calculation:
Calculated density = 4.252 g cm⁻³

abc: 6.069 6.069 6.069
angles: 60.00 60.00 60.00
Positions (direct):
Pm1 0.000 0.000 0.000
Dy1 0.750 0.750 0.750
Mg1 0.375 0.375 0.375
Mg2 0.375 0.375 0.875
Mg3 0.375 0.875 0.375
Mg4 0.875 0.375 0.375

---

Order of stability, best first: (b), (a)